Entry 1:
An optimized crystal structure of SiHPbAu2. Source: the Alexandria database, functional PBE.

Results
Space-group type   P4/mmm (123)
Total magnetic moment   0.00 μB/cell
Density of states at the Fermi level   0.46 states/eV per atom
Calculated total energy   -3.7176 eV per atom

abc: 5.083 5.083 3.501
angles: 90.00 90.00 90.00
Fractional coordinates of all 5 atoms:
Si: 0.000 0.000 0.000
H: 0.000 0.000 0.500
Pb: 0.500 0.500 0.500
Au: 0.000 0.500 0.000
Au: 0.500 0.000 0.000

=====

Entry 2:
An optimized crystal structure of SnHPb2Au. Source: the Alexandria database, functional PBE.

Results
Space-group type   P4/mmm (123)
Total magnetic moment   0.00 μB/cell
Density of states at the Fermi level   0.60 states/eV per atom
Calculated total energy   -3.5006 eV per atom

abc: 5.814 5.814 3.541
angles: 90.00 90.00 90.00
Fractional coordinates of all 5 atoms:
Sn: 0.000 0.000 0.000
H: 0.500 0.500 0.000
Pb: 0.000 0.500 0.500
Pb: 0.500 0.000 0.500
Au: 0.500 0.500 0.500

=====

Entry 3:
An optimized crystal structure of Sn2HPbAu. Source: the Alexandria database, functional PBE.

Results
Space-group type   P4/mmm (123)
Total magnetic moment   0.00 μB/cell
Density of states at the Fermi level   0.59 states/eV per atom
Calculated total energy   -3.5821 eV per atom

abc: 5.686 5.686 3.531
angles: 90.00 90.00 90.00
Fractional coordinates of all 5 atoms:
Sn: 0.000 0.500 0.000
Sn: 0.500 0.000 0.000
H: 0.000 0.000 0.500
Pb: 0.500 0.500 0.500
Au: 0.000 0.000 0.000

=====

Entry 4:
An optimized crystal structure of Te2HPbAu. Source: the Alexandria database, functional PBE.

Results
Space-group type   P4/mmm (123)
Total magnetic moment   0.00 μB/cell
Density of states at the Fermi level   0.83 states/eV per atom
Calculated total energy   -3.3134 eV per atom

abc: 5.805 5.805 3.565
angles: 90.00 90.00 90.00
Fractional coordinates of all 5 atoms:
Te: 0.000 0.500 0.000
Te: 0.500 0.000 0.000
H: 0.000 0.000 0.500
Pb: 0.500 0.500 0.500
Au: 0.000 0.000 0.000

=====

Entry 5:
An optimized crystal structure of Tl2HPbAu. Source: the Alexandria database, functional PBE.

Results
Space-group type   P4/mmm (123)
Total magnetic moment   0.00 μB/cell
Density of states at the Fermi level   0.38 states/eV per atom
Calculated total energy   -2.9366 eV per atom
Excess energy over the best structure of this formula in the dataset   0 meV per atom

abc: 5.769 5.769 3.574
angles: 90.00 90.00 90.00
Fractional coordinates of all 5 atoms:
Tl: 0.000 0.500 0.000
Tl: 0.500 0.000 0.000
H: 0.000 0.000 0.000
Pb: 0.500 0.500 0.500
Au: 0.000 0.000 0.500

=====

Entry 6:
An optimized crystal structure of Tl2HPbAu. Source: the Alexandria database, functional PBE.

Results
Space-group type   P4/mmm (123)
Total magnetic moment   0.00 μB/cell
Density of states at the Fermi level   0.37 states/eV per atom
Calculated total energy   -2.9330 eV per atom
Excess energy over the best structure of this formula in the dataset   4 meV per atom

abc: 5.887 5.887 3.534
angles: 90.00 90.00 90.00
Fractional coordinates of all 5 atoms:
Tl: 0.000 0.500 0.000
Tl: 0.500 0.000 0.000
H: 0.000 0.000 0.500
Pb: 0.500 0.500 0.500
Au: 0.000 0.000 0.000

=====

Entry 7:
An optimized crystal structure of TlHPb2Au. Source: the Alexandria database, functional PBE.

Results
Space-group type   P4/mmm (123)
Total magnetic moment   0.00 μB/cell
Density of states at the Fermi level   0.24 states/eV per atom
Calculated total energy   -3.1793 eV per atom
Excess energy over the best structure of this formula in the dataset   10 meV per atom

abc: 5.631 5.631 3.643
angles: 90.00 90.00 90.00
Fractional coordinates of all 5 atoms:
Tl: 0.000 0.000 0.000
H: 0.500 0.500 0.500
Pb: 0.000 0.500 0.500
Pb: 0.500 0.000 0.500
Au: 0.500 0.500 0.000

=====

Entry 8:
An optimized crystal structure of TlHPb2Au. Source: the Alexandria database, functional PBE.

Results
Space-group type   P4/mmm (123)
Total magnetic moment   0.00 μB/cell
Density of states at the Fermi level   0.43 states/eV per atom
Calculated total energy   -3.1891 eV per atom
Excess energy over the best structure of this formula in the dataset   0 meV per atom

abc: 5.850 5.850 3.554
angles: 90.00 90.00 90.00
Fractional coordinates of all 5 atoms:
Tl: 0.000 0.000 0.000
H: 0.500 0.500 0.000
Pb: 0.000 0.500 0.500
Pb: 0.500 0.000 0.500
Au: 0.500 0.500 0.500